Computed, not measured: BaLaCrMoO6 after structural relaxation at the GGA+U level of DFT.

- Electronic total energy: -7.49 eV/atom
- Crystal system: cubic
- Space group: F-43m, No. 216

```
10
Lattice="0.000 4.048 4.048 4.048 0.000 4.048 4.048 4.048 0.000" Properties=species:S:1:pos:R:3 pbc="T T T"
Ba 0.000 0.000 0.000
La 4.048 4.048 4.048
Cr 2.024 2.024 2.024
Mo 6.072 6.072 6.072
O 2.024 2.024 0.028
O 2.024 0.028 2.024
O 4.020 2.024 2.024
O 0.028 2.024 2.024
O 2.024 4.020 2.024
O 2.024 2.024 4.020
```